The following is a DFT calculation (PBE+U) of a relaxed structure of FeReBO.

a b c (Å): 2.942 3.034 5.566
angles (deg): 90.00 90.00 90.00
Sites, in units of the cell vectors:
Fe  0.000  0.000  0.000
Re  0.500  0.000  0.416
B  0.000  0.500  0.315
O  0.500  0.000  0.766

Values from the calculation:
For the size of the total moment, the calculation gives 2.96 μB per cell. As for the excess energy over the best structure of this formula in the dataset: 42 meV per atom. The value obtained for the energy is -7.680 eV per atom. The symmetry is No. 25.